A relaxed structure of Ac2CuH6Ru, computed with GGA-PBE.

M_tot in μB per formula unit: 0.0
E in eV for the cell shown: -45.30
DOS(E_F) in states/eV/f.u.: 4.50
Crystal system: monoclinic

abc: 5.586 5.588 5.538
angles: 59.72 59.73 90.27
Fractional coordinates of all 10 atoms:
Ac: 0.250 0.750 0.500
H: 0.726 0.274 0.000
Cu: 0.000 0.000 0.000
H: 0.273 0.273 0.001
H: 0.270 0.270 0.460
H: 0.274 0.726 0.000
H: 0.727 0.727 0.999
Ru: 0.500 0.500 0.000
Ac: 0.750 0.250 0.500
H: 0.730 0.730 0.540